Model A:
Here is a relaxed GdAlGa crystal from Alexandria via LeMat-Bulk. Energies are from PBE.

The structure belongs to space group P-6m2 (No. 187); the cell edges are 4.4072, 4.4072 and 3.8095 Å and the angles 90.00°, 90.00° and 120.00°. Symmetry generates all atoms from Gd at (0.0000, 0.0000, 0.0000), Al at (0.3333, 0.6667, 0.5000) and Ga at (0.6667, 0.3333, 0.5000).

The calculation puts the size of the total moment at 7.094 μB per formula unit. For the theoretical density, the calculation gives 6.581 g/cm³.

Model B:
Here is a relaxed GdAlGa crystal from Alexandria via LeMat-Bulk. Energies are from PBE.

The structure belongs to space group I4mm (No. 107); the cell edges are 3.354, 3.354 and 11.393 Å and the angles 90.00°, 90.00° and 90.00°. Symmetry generates all atoms from Gd at (0.000, 0.000, 0.000), Al at (0.000, 0.000, 0.311) and Ga at (0.000, 0.000, 0.685).

The calculation puts the size of the total moment at 7.548 μB per formula unit. For the theoretical density, the calculation gives 6.581 g/cm³.

Stability ranking, top and bottom: model A is the most stable and model B is the least stable.

Model A:
Here is a relaxed Gd2AlGa crystal from Alexandria via LeMat-Bulk. Energies are from PBE.

The structure belongs to space group Fm-3m (No. 225); the cell edges are 7.256, 7.256 and 7.256 Å and the angles 90.00°, 90.00° and 90.00°. Symmetry generates all atoms from Gd at (0.250, 0.250, 0.250), Al at (0.000, 0.000, 0.000) and Ga at (0.000, 0.000, 0.500).

The calculation puts the size of the total moment at 14.168 μB per formula unit. For the theoretical density, the calculation gives 7.149 g/cm³.

Model B:
Here is a relaxed Gd2AlGa crystal from Alexandria via LeMat-Bulk. Energies are from PBE.

The structure belongs to space group P4/mmm (No. 123); the cell edges are 3.615, 3.615 and 7.275 Å and the angles 90.00°, 90.00° and 90.00°. Symmetry generates all atoms from Gd at (0.000, 0.000, 0.247), Al at (0.500, 0.500, 0.500) and Ga at (0.500, 0.500, 0.000).

The calculation puts the size of the total moment at 14.179 μB per formula unit. For the theoretical density, the calculation gives 7.183 g/cm³.

Model C:
Here is a relaxed Gd2AlGa crystal from Alexandria via LeMat-Bulk. Energies are from PBE.

The structure belongs to space group R-3m (No. 166, hexagonal axes); the cell edges are 3.4663, 3.4663 and 32.0800 Å and the angles 90.00°, 90.00° and 120.00°. Symmetry generates all atoms from Gd at (0.0000, 0.0000, 0.0950), Al at (0.0000, 0.0000, 0.5000) and Ga at (0.0000, 0.0000, 0.0000).

The calculation puts the size of the total moment at 14.622 μB per formula unit. For the theoretical density, the calculation gives 6.137 g/cm³.

Stability ranking, top and bottom: model B is the most stable and model C is the least stable.

Model A:
Here is a relaxed Al2GaGe crystal from Alexandria via LeMat-Bulk. Energies are from PBE.

The structure belongs to space group I-42d (No. 122); the cell edges are 7.391, 7.391 and 5.561 Å and the angles 90.00°, 90.00° and 90.00°. Symmetry generates all atoms from Al at (0.228, 0.250, 0.125), Ga at (0.000, 0.000, 0.500) and Ge at (0.000, 0.000, 0.000).

The calculation puts the size of the total moment at 0.000 μB per formula unit. For the theoretical density, the calculation gives 4.292 g/cm³.

Model B:
Here is a relaxed Al2GaGe crystal from Alexandria via LeMat-Bulk. Energies are from PBE.

The structure belongs to space group Fm-3m (No. 225); the cell edges are 6.596, 6.596 and 6.596 Å and the angles 90.00°, 90.00° and 90.00°. Symmetry generates all atoms from Al at (0.250, 0.250, 0.250), Ga at (0.000, 0.000, 0.000) and Ge at (0.000, 0.000, 0.500).

The calculation puts the size of the total moment at 0.000 μB per formula unit. For the theoretical density, the calculation gives 4.545 g/cm³.

Model C:
Here is a relaxed Al2GaGe crystal from Alexandria via LeMat-Bulk. Energies are from PBE.

The structure belongs to space group R-3m (No. 166, hexagonal axes); the cell edges are 3.7392, 3.7392 and 23.2969 Å and the angles 90.00°, 90.00° and 120.00°. Symmetry generates all atoms from Al at (0.0000, 0.0000, 0.1081), Ga at (0.0000, 0.0000, 0.0000) and Ge at (0.0000, 0.0000, 0.5000).

The calculation puts the size of the total moment at 0.000 μB per formula unit. For the theoretical density, the calculation gives 3.467 g/cm³.

Model D:
Here is a relaxed Al2GaGe crystal from Alexandria via LeMat-Bulk. Energies are from PBE.

The structure belongs to space group P4/mmm (No. 123); the cell edges are 3.279, 3.279 and 6.661 Å and the angles 90.00°, 90.00° and 90.00°. Symmetry generates all atoms from Al at (0.000, 0.000, 0.240), Ga at (0.500, 0.500, 0.500) and Ge at (0.500, 0.500, 0.000).

The calculation puts the size of the total moment at 0.000 μB per formula unit. For the theoretical density, the calculation gives 4.552 g/cm³.

Stability ranking, top and bottom: model D is the most stable and model C is the least stable.

Model A:
Here is a relaxed Al2GaGe crystal from Alexandria via LeMat-Bulk. Energies are from PBE.

The structure belongs to space group R3m (No. 160, hexagonal axes); the cell edges are 4.0485, 4.0485 and 16.4166 Å and the angles 90.00°, 90.00° and 120.00°. Symmetry generates all atoms from Al at (0.0000, 0.0000, 0.0000), Al at (0.0000, 0.0000, 0.1699), Ga at (0.0000, 0.0000, 0.5837) and Ge at (0.0000, 0.0000, 0.7477).

The calculation puts the size of the total moment at 0.000 μB per formula unit. For the theoretical density, the calculation gives 4.197 g/cm³.

Model B:
Here is a relaxed Al2GaGe crystal from Alexandria via LeMat-Bulk. Energies are from PBE.

The structure belongs to space group P4/mmm (No. 123); the cell edges are 4.182, 4.182 and 4.024 Å and the angles 90.00°, 90.00° and 90.00°. Symmetry generates all atoms from Al at (0.000, 0.500, 0.000), Ga at (0.000, 0.000, 0.500) and Ge at (0.500, 0.500, 0.500).

The calculation puts the size of the total moment at 0.000 μB per formula unit. For the theoretical density, the calculation gives 4.632 g/cm³.

Stability ranking, top and bottom: model A is the most stable and model B is the least stable.

Model A:
Here is a relaxed Al3GaH crystal from Alexandria via LeMat-Bulk. Energies are from PBE.

The structure belongs to space group Pm-3m (No. 221); the cell edges are 4.924, 4.924 and 4.924 Å and the angles 90.00°, 90.00° and 90.00°. Symmetry generates all atoms from Al at (0.000, 0.000, 0.500), Ga at (0.000, 0.000, 0.000) and H at (0.500, 0.500, 0.500).

The calculation puts the size of the total moment at 0.000 μB per formula unit. For the theoretical density, the calculation gives 2.110 g/cm³.

Model B:
Here is a relaxed Al3GaH crystal from Alexandria via LeMat-Bulk. Energies are from PBE.

The structure belongs to space group Pm-3m (No. 221); the cell edges are 4.132, 4.132 and 4.132 Å and the angles 90.00°, 90.00° and 90.00°. Symmetry generates all atoms from Al at (0.000, 0.000, 0.500), Ga at (0.500, 0.500, 0.500) and H at (0.000, 0.000, 0.000).

The calculation puts the size of the total moment at 0.000 μB per formula unit. For the theoretical density, the calculation gives 3.569 g/cm³.

Stability ranking, top and bottom: model B is the most stable and model A is the least stable.

Model A:
Here is a relaxed AlGa3H crystal from Alexandria via LeMat-Bulk. Energies are from PBE.

The structure belongs to space group Pm-3m (No. 221); the cell edges are 4.270, 4.270 and 4.270 Å and the angles 90.00°, 90.00° and 90.00°. Symmetry generates all atoms from Al at (0.000, 0.000, 0.000), Ga at (0.000, 0.500, 0.500) and H at (0.500, 0.500, 0.500).

The calculation puts the size of the total moment at 0.000 μB per formula unit. For the theoretical density, the calculation gives 5.059 g/cm³.

Model B:
Here is a relaxed AlGa3H crystal from Alexandria via LeMat-Bulk. Energies are from PBE.

The structure belongs to space group Pm-3m (No. 221); the cell edges are 5.001, 5.001 and 5.001 Å and the angles 90.00°, 90.00° and 90.00°. Symmetry generates all atoms from Al at (0.000, 0.000, 0.000), Ga at (0.000, 0.000, 0.500) and H at (0.500, 0.500, 0.500).

The calculation puts the size of the total moment at 0.000 μB per formula unit. For the theoretical density, the calculation gives 3.149 g/cm³.

Stability ranking, top and bottom: model A is the most stable and model B is the least stable.

Model A:
Here is a relaxed HfAlGa3 crystal from Alexandria via LeMat-Bulk. Energies are from PBE.

The structure belongs to space group Pm-3m (No. 221); the cell edges are 4.760, 4.760 and 4.760 Å and the angles 90.00°, 90.00° and 90.00°. Symmetry generates all atoms from Hf at (0.000, 0.000, 0.000), Al at (0.500, 0.500, 0.500) and Ga at (0.000, 0.500, 0.500).

The calculation puts the size of the total moment at 0.000 μB per formula unit. For the theoretical density, the calculation gives 6.384 g/cm³.

Model B:
Here is a relaxed HfAlGa3 crystal from Alexandria via LeMat-Bulk. Energies are from PBE.

The structure belongs to space group Pm-3m (No. 221); the cell edges are 5.241, 5.241 and 5.241 Å and the angles 90.00°, 90.00° and 90.00°. Symmetry generates all atoms from Hf at (0.000, 0.000, 0.000), Al at (0.500, 0.500, 0.500) and Ga at (0.000, 0.000, 0.500).

The calculation puts the size of the total moment at 0.000 μB per formula unit. For the theoretical density, the calculation gives 4.783 g/cm³.

Stability ranking, top and bottom: model A is the most stable and model B is the least stable.

Model A:
Here is a relaxed Hf2AlGa crystal from Alexandria via LeMat-Bulk. Energies are from PBE.

The structure belongs to space group P4/mmm (No. 123); the cell edges are 4.249, 4.249 and 4.120 Å and the angles 90.00°, 90.00° and 90.00°. Symmetry generates all atoms from Hf at (0.000, 0.500, 0.000), Al at (0.000, 0.000, 0.500) and Ga at (0.500, 0.500, 0.500).

The calculation puts the size of the total moment at 0.000 μB per formula unit. For the theoretical density, the calculation gives 10.126 g/cm³.

Model B:
Here is a relaxed Hf2AlGa crystal from Alexandria via LeMat-Bulk. Energies are from PBE.

The structure belongs to space group P2_1/m (No. 11); the cell edges are 5.650, 4.209 and 6.602 Å and the angles 90.00°, 106.97° and 90.00°. Symmetry generates all atoms from Hf at (0.174, 0.250, 0.418), Hf at (0.175, 0.250, 0.919), Al at (0.357, 0.750, 0.715) and Ga at (0.356, 0.750, 0.214).

The calculation puts the size of the total moment at 0.000 μB per formula unit. For the theoretical density, the calculation gives 10.034 g/cm³.

Stability ranking, top and bottom: model B is the most stable and model A is the least stable.